w | The following is a DFT calculation (PBE-GGA) of a geometry-optimized ZrSc2Ag structure.

POSCAR file:
```
ZrSc2Ag
1.0
1.6089 0.9289 9.9041
-1.6089 0.9289 9.9041
0.0000 -1.8579 9.9041
Zr Sc Ag
1 2 1
direct
0.0000 0.0000 0.0000
0.2467 0.2467 0.2467
0.7533 0.7533 0.7533
0.5000 0.5000 0.5000
```

Results
The mass density comes out at 5.4 g/cm³. The space group is R-3m, No. 166. Its size of the total moment is 0.00 μB per cell.



x | The following is a DFT calculation (PBE-GGA) of a geometry-optimized ZrSc2Ag structure.

POSCAR file:
```
ZrSc2Ag
1.0
-2.2089 2.2089 4.4615
2.2089 -2.2089 4.4615
2.2089 2.2089 -4.4615
Zr Sc Ag
1 2 1
direct
0.0000 0.0000 0.0000
0.2500 0.7500 0.5000
0.7500 0.2500 0.5000
0.5000 0.5000 0.0000
```

Results
The mass density comes out at 5.5 g/cm³. The space group is I4/mmm, No. 139. Its size of the total moment is 1.34 μB per cell.



y | The following is a DFT calculation (PBE-GGA) of a geometry-optimized ZrSc2Ag structure.

POSCAR file:
```
ZrSc2Ag
1.0
-1.7143 2.5108 5.1120
1.7143 -2.5108 5.1120
1.7143 2.5108 -5.1120
Zr Sc Ag
1 2 1
direct
0.0000 0.0000 0.0000
0.2715 0.7714 0.5000
0.7286 0.2286 0.5000
0.5000 0.5000 0.0000
```

Results
The mass density comes out at 5.5 g/cm³. The space group is Immm, No. 71. Its size of the total moment is 0.00 μB per cell.



z | The following is a DFT calculation (PBE-GGA) of a geometry-optimized ZrSc2Ag structure.

POSCAR file:
```
ZrSc2Ag
1.0
1.6358 0.9444 9.7241
-1.6358 0.9444 9.7241
0.0000 -1.8888 9.7241
Zr Sc Ag
1 2 1
direct
0.0000 0.0000 0.0000
0.5796 0.5796 0.5796
0.7535 0.7535 0.7535
0.1661 0.1661 0.1661
```

Results
The mass density comes out at 5.3 g/cm³. The space group is R3m, No. 160. Its size of the total moment is 0.00 μB per cell.



It comes down to y, which is 0.008 eV/atom more stable than the next structure.



w | The following is a DFT calculation (PBE-GGA) of a geometry-optimized ZrSc2Ag structure.

POSCAR file:
```
ZrSc2Ag
1.0
3.2258 0.0000 0.0000
0.0000 3.2258 0.0000
0.0000 0.0000 8.5358
Zr Sc Ag
1 2 1
direct
0.0000 0.0000 0.0000
0.0000 0.0000 0.4642
0.5000 0.5000 0.7490
0.5000 0.5000 0.2423
```

Results
The mass density comes out at 5.4 g/cm³. The space group is P4mm, No. 99. Its size of the total moment is 0.00 μB per cell.



x | The following is a DFT calculation (PBE-GGA) of a geometry-optimized ZrSc2Ag structure.

POSCAR file:
```
ZrSc2Ag
1.0
4.4859 0.0000 0.0000
0.0000 4.4859 0.0000
0.0000 0.0000 4.3010
Zr Sc Ag
1 2 1
direct
0.0000 0.0000 0.0000
0.0000 0.5000 0.5000
0.5000 0.0000 0.5000
0.5000 0.5000 0.0000
```

Results
The mass density comes out at 5.5 g/cm³. The space group is P4/mmm, No. 123. Its size of the total moment is 0.00 μB per cell.



It comes down to w, which is 0.072 eV/atom more stable than the next structure.



w | The following is a DFT calculation (PBE-GGA) of a geometry-optimized Zr2ScAg structure.

POSCAR file:
```
Zr2ScAg
1.0
3.2460 0.0000 0.0000
0.0000 4.9762 0.0000
0.0000 0.0000 5.3330
Zr Sc Ag
2 1 1
direct
0.0000 0.0000 0.0000
0.5000 0.5000 0.0000
0.0000 0.5000 0.5000
0.5000 0.0000 0.5000
```

Results
The mass density comes out at 6.5 g/cm³. The space group is Pmmm, No. 47. Its size of the total moment is 0.00 μB per cell.



x | The following is a DFT calculation (PBE-GGA) of a geometry-optimized Zr2ScAg structure.

POSCAR file:
```
Zr2ScAg
1.0
5.1230 0.0000 0.0000
0.0000 5.1230 0.0000
0.0000 0.0000 3.2721
Zr Sc Ag
2 1 1
direct
0.0000 0.5000 0.0000
0.5000 0.0000 0.0000
0.0000 0.0000 0.5000
0.5000 0.5000 0.5000
```

Results
The mass density comes out at 6.5 g/cm³. The space group is P4/mmm, No. 123. Its size of the total moment is 0.00 μB per cell.



It comes down to w, which is 0.083 eV/atom more stable than the next structure.



w | The following is a DFT calculation (PBE-GGA) of a geometry-optimized Zr2ScAg structure.

POSCAR file:
```
Zr2ScAg
1.0
-2.1878 2.1878 4.4942
2.1878 -2.1878 4.4942
2.1878 2.1878 -4.4942
Zr Sc Ag
2 1 1
direct
0.0000 0.0000 0.0000
0.7500 0.2500 0.5000
0.5000 0.5000 0.0000
0.2500 0.7500 0.5000
```

Results
The mass density comes out at 6.5 g/cm³. The space group is I-4m2, No. 119. Its size of the total moment is 0.00 μB per cell.



x | The following is a DFT calculation (PBE-GGA) of a geometry-optimized Zr2ScAg structure.

POSCAR file:
```
Zr2ScAg
1.0
0.0000 3.4979 3.4979
3.4979 0.0000 3.4979
3.4979 3.4979 0.0000
Zr Sc Ag
2 1 1
direct
0.2500 0.2500 0.2500
0.7500 0.7500 0.7500
0.0000 0.0000 0.0000
0.5000 0.5000 0.5000
```

Results
The mass density comes out at 6.5 g/cm³. The space group is Fm-3m, No. 225. Its size of the total moment is 0.00 μB per cell.



y | The following is a DFT calculation (PBE-GGA) of a geometry-optimized Zr2ScAg structure.

POSCAR file:
```
Zr2ScAg
1.0
-2.0467 2.0467 10.8587
2.0467 -2.0467 10.8587
2.0467 2.0467 -10.8587
Zr Sc Ag
4 2 2
direct
0.1151 0.6250 0.9901
0.3750 0.3651 0.4901
0.6349 0.1250 0.0099
0.8750 0.8849 0.5099
0.2500 0.7500 0.5000
0.5000 0.5000 0.0000
0.0000 0.0000 0.0000
0.7500 0.2500 0.5000
```

Results
The mass density comes out at 6.1 g/cm³. The space group is I-42d, No. 122. Its size of the total moment is 0.00 μB per cell.



It comes down to w, which is 0.109 eV/atom more stable than the next structure.